[1]
{
  "formula": "HfCoSiPd",
  "functional": "PBE",
  "state": "optimized geometry",
  "lattice_angstrom": [[0.000, 3.112, 3.112], [3.112, 0.000, 3.112], [3.112, 3.112, 0.000]],
  "species": ["Hf", "Co", "Si", "Pd"],
  "frac_coords": [[0.000, 0.000, 0.000], [0.500, 0.500, 0.500], [0.250, 0.250, 0.250], [0.750, 0.750, 0.750]],
  "final_energy_ev_per_cell": -28.856,
  "vol_a3_per_cell": 60.3,
  "mass_density_g_cm3": 10.241
}

---

[2]
{
  "formula": "Zr4AlC3",
  "functional": "PBE",
  "state": "optimized geometry",
  "lattice_angstrom": [[3.347, 0.000, 0.000], [-1.673, 2.898, 0.000], [0.000, 0.000, 25.293]],
  "species": ["Zr", "Zr", "Zr", "Zr", "Zr", "Zr", "Zr", "Zr", "Al", "Al", "C", "C", "C", "C", "C", "C"],
  "frac_coords": [[0.000, 0.000, 0.157], [0.000, 0.000, 0.343], [0.000, 0.000, 0.657], [0.000, 0.000, 0.843], [0.333, 0.667, 0.052], [0.333, 0.667, 0.448], [0.667, 0.333, 0.552], [0.667, 0.333, 0.948], [0.333, 0.667, 0.250], [0.667, 0.333, 0.750], [0.000, 0.000, 0.000], [0.000, 0.000, 0.500], [0.333, 0.667, 0.610], [0.333, 0.667, 0.890], [0.667, 0.333, 0.110], [0.667, 0.333, 0.390]],
  "final_energy_ev_per_cell": -143.144,
  "vol_a3_per_cell": 245.3,
  "mass_density_g_cm3": 5.792
}